Record 1
The following is a PBE calculation of a geometry-optimized Ac2TbEr structure, from the Alexandria database.

a = 5.976 Å, b = 5.976 Å, c = 5.976 Å
α = 60.00°, β = 60.00°, γ = 60.00°
Fractional positions:
Ac (0.250, 0.250, 0.250)
Ac (0.750, 0.750, 0.750)
Tb (0.000, 0.000, 0.000)
Er (0.500, 0.500, 0.500)

Values from the calculation:
Symmetry: No. 225
D(E_F): 6.60 states/eV per cell
Energy above the lowest structure with this stoichiometry: 44 meV/atom

---

Record 2
The following is a PBE calculation of a geometry-optimized AcTb6Er2 structure, from the Alexandria database.

a = 9.273 Å, b = 9.273 Å, c = 9.273 Å
α = 43.54°, β = 43.54°, γ = 43.54°
Fractional positions:
Ac (0.000, 0.000, 0.000)
Tb (0.046, 0.048, 0.561)
Tb (0.048, 0.561, 0.046)
Tb (0.284, 0.778, 0.286)
Tb (0.286, 0.284, 0.778)
Tb (0.561, 0.046, 0.048)
Tb (0.778, 0.286, 0.284)
Er (0.582, 0.582, 0.582)
Er (0.760, 0.760, 0.760)

Values from the calculation:
Symmetry: No. 146
D(E_F): 14.87 states/eV per cell
Energy above the lowest structure with this stoichiometry: 317 meV/atom

---

Record 3
The following is a PBE calculation of a geometry-optimized Ac8Tb2Er3 structure, from the Alexandria database.

a = 11.173 Å, b = 11.173 Å, c = 6.095 Å
α = 90.03°, β = 90.03°, γ = 44.65°
Fractional positions:
Ac (0.101, 0.690, 0.000)
Ac (0.176, 0.176, 0.500)
Ac (0.310, 0.899, 0.000)
Ac (0.374, 0.374, 0.500)
Ac (0.626, 0.626, 0.500)
Ac (0.690, 0.101, 0.000)
Ac (0.824, 0.824, 0.500)
Ac (0.899, 0.310, 0.000)
Tb (0.262, 0.262, 0.001)
Tb (0.738, 0.738, 0.999)
Er (0.202, 0.798, 0.500)
Er (0.500, 0.500, 0.000)
Er (0.798, 0.202, 0.500)

Values from the calculation:
Raw total energy: -4.06 eV per atom
Symmetry: No. 12
D(E_F): 16.78 states/eV per cell

---

Record 4
The following is a PBE calculation of a geometry-optimized Ac2TbEr structure, from the Alexandria database.

a = 12.254 Å, b = 12.254 Å, c = 12.254 Å
α = 17.80°, β = 17.80°, γ = 17.80°
Fractional positions:
Ac (0.000, 0.000, 0.000)
Ac (0.165, 0.165, 0.165)
Tb (0.581, 0.581, 0.581)
Er (0.750, 0.750, 0.750)

Values from the calculation:
Symmetry: No. 160
D(E_F): 6.05 states/eV per cell
Energy above the lowest structure with this stoichiometry: 28 meV/atom

---

Record 5
The following is a PBE calculation of a geometry-optimized Ac8Tb4Er structure, from the Alexandria database.

a = 8.310 Å, b = 8.310 Å, c = 8.310 Å
α = 90.04°, β = 90.04°, γ = 90.04°
Fractional positions:
Ac (0.242, 0.242, 0.242)
Ac (0.242, 0.242, 0.757)
Ac (0.242, 0.757, 0.242)
Ac (0.243, 0.758, 0.758)
Ac (0.757, 0.242, 0.242)
Ac (0.758, 0.243, 0.758)
Ac (0.758, 0.758, 0.243)
Ac (0.758, 0.758, 0.758)
Tb (0.000, 0.000, 0.000)
Tb (0.000, 0.500, 0.500)
Tb (0.500, 0.000, 0.500)
Tb (0.500, 0.500, 0.000)
Er (0.500, 0.500, 0.500)

Values from the calculation:
Raw total energy: -3.91 eV per atom
Symmetry: No. 166
D(E_F): 20.03 states/eV per cell

---

Record 6
The following is a PBE calculation of a geometry-optimized AcTb6Er5 structure, from the Alexandria database.

a = 6.181 Å, b = 6.181 Å, c = 11.844 Å
α = 94.94°, β = 94.94°, γ = 119.90°
Fractional positions:
Ac (0.000, 0.000, 0.000)
Tb (0.085, 0.421, 0.255)
Tb (0.252, 0.252, 0.745)
Tb (0.421, 0.085, 0.255)
Tb (0.579, 0.915, 0.745)
Tb (0.748, 0.748, 0.255)
Tb (0.915, 0.579, 0.745)
Er (0.167, 0.833, 0.500)
Er (0.334, 0.666, 0.000)
Er (0.500, 0.500, 0.500)
Er (0.666, 0.334, 0.000)
Er (0.833, 0.167, 0.500)

Values from the calculation:
Raw total energy: -4.52 eV per atom
Symmetry: No. 12
D(E_F): 16.08 states/eV per cell

---

Record 7
The following is a PBE calculation of a geometry-optimized Ac2TbEr structure, from the Alexandria database.

a = 13.212 Å, b = 13.212 Å, c = 13.212 Å
α = 16.08°, β = 16.08°, γ = 16.08°
Fractional positions:
Ac (0.088, 0.088, 0.088)
Ac (0.912, 0.912, 0.912)
Tb (0.500, 0.500, 0.500)
Er (0.000, 0.000, 0.000)

Values from the calculation:
Symmetry: No. 166
D(E_F): 7.33 states/eV per cell
Energy above the lowest structure with this stoichiometry: 209 meV/atom

---

Record 8
The following is a PBE calculation of a geometry-optimized Ac3TbEr structure, from the Alexandria database.

a = 6.510 Å, b = 9.387 Å, c = 13.232 Å
α = 90.00°, β = 90.00°, γ = 90.00°
Fractional positions:
Ac (0.089, 0.173, 0.074)
Ac (0.089, 0.327, 0.426)
Ac (0.140, 0.250, 0.750)
Ac (0.360, 0.750, 0.750)
Ac (0.411, 0.673, 0.426)
Ac (0.411, 0.827, 0.074)
Ac (0.589, 0.173, 0.926)
Ac (0.589, 0.327, 0.574)
Ac (0.640, 0.250, 0.250)
Ac (0.860, 0.750, 0.250)
Ac (0.911, 0.673, 0.574)
Ac (0.911, 0.827, 0.926)
Tb (0.250, 0.000, 0.557)
Tb (0.250, 0.500, 0.943)
Tb (0.750, 0.000, 0.443)
Tb (0.750, 0.500, 0.057)
Er (0.250, 0.000, 0.306)
Er (0.250, 0.500, 0.194)
Er (0.750, 0.000, 0.694)
Er (0.750, 0.500, 0.806)

Values from the calculation:
Raw total energy: -4.12 eV per atom
Symmetry: No. 52
D(E_F): 29.27 states/eV per cell

---

Record 9
The following is a PBE calculation of a geometry-optimized Ac2TbEr structure, from the Alexandria database.

a = 3.883 Å, b = 3.883 Å, c = 9.931 Å
α = 90.00°, β = 90.00°, γ = 90.00°
Fractional positions:
Ac (0.000, 0.000, 0.248)
Ac (0.000, 0.000, 0.752)
Tb (0.500, 0.500, 0.500)
Er (0.500, 0.500, 0.000)

Values from the calculation:
Symmetry: No. 123
D(E_F): 5.73 states/eV per cell
Energy above the lowest structure with this stoichiometry: 3 meV/atom

---

Record 10
The following is a PBE calculation of a geometry-optimized Ac2TbEr structure, from the Alexandria database.

a = 5.448 Å, b = 5.448 Å, c = 5.044 Å
α = 90.00°, β = 90.00°, γ = 90.00°
Fractional positions:
Ac (0.000, 0.500, 0.000)
Ac (0.500, 0.000, 0.000)
Tb (0.000, 0.000, 0.500)
Er (0.500, 0.500, 0.500)

Values from the calculation:
Symmetry: No. 123
D(E_F): 5.43 states/eV per cell
Energy above the lowest structure with this stoichiometry: 0 meV/atom

---

Record 11
The following is a PBE calculation of a geometry-optimized AcTb9Er2 structure, from the Alexandria database.

a = 5.065 Å, b = 5.065 Å, c = 15.242 Å
α = 90.00°, β = 90.00°, γ = 90.00°
Fractional positions:
Ac (0.000, 0.000, 0.000)
Tb (0.000, 0.500, 0.174)
Tb (0.000, 0.500, 0.500)
Tb (0.000, 0.500, 0.826)
Tb (0.500, 0.000, 0.174)
Tb (0.500, 0.000, 0.500)
Tb (0.500, 0.000, 0.826)
Tb (0.500, 0.500, 0.000)
Tb (0.500, 0.500, 0.338)
Tb (0.500, 0.500, 0.662)
Er (0.000, 0.000, 0.337)
Er (0.000, 0.000, 0.663)

Values from the calculation:
Raw total energy: -4.54 eV per atom
Symmetry: No. 123
D(E_F): 18.67 states/eV per cell

---

Record 12
The following is a PBE calculation of a geometry-optimized AcTb4Er15 structure, from the Alexandria database.

a = 5.006 Å, b = 5.006 Å, c = 25.011 Å
α = 90.00°, β = 90.00°, γ = 90.00°
Fractional positions:
Ac (0.000, 0.000, 0.000)
Tb (0.000, 0.000, 0.203)
Tb (0.000, 0.000, 0.401)
Tb (0.000, 0.000, 0.599)
Tb (0.000, 0.000, 0.797)
Er (0.000, 0.500, 0.105)
Er (0.000, 0.500, 0.302)
Er (0.000, 0.500, 0.500)
Er (0.000, 0.500, 0.698)
Er (0.000, 0.500, 0.895)
Er (0.500, 0.000, 0.105)
Er (0.500, 0.000, 0.302)
Er (0.500, 0.000, 0.500)
Er (0.500, 0.000, 0.698)
Er (0.500, 0.000, 0.895)
Er (0.500, 0.500, 0.000)
Er (0.500, 0.500, 0.204)
Er (0.500, 0.500, 0.401)
Er (0.500, 0.500, 0.599)
Er (0.500, 0.500, 0.796)

Values from the calculation:
Raw total energy: -4.52 eV per atom
Symmetry: No. 123
D(E_F): 27.25 states/eV per cell